# 1
! PBE-GGA ScCdMo2, relaxed; values from VASP
! DOS at the Fermi energy, states/eV per atom: 1.27
! Total DFT energy (no corrections), eV per cell: -27.1
! Formation energy, eV per atom: 0.45
&SYSTEM
  ibrav = 0, nat = 4, ntyp = 3
/
ATOMIC_SPECIES
Mo 95.94 Mo.upf
Sc 44.96 Sc.upf
Cd 112.41 Cd.upf
CELL_PARAMETERS angstrom
-7.653 1.511 6.155
-8.824 -0.635 4.526
-7.111 -1.299 6.818
ATOMIC_POSITIONS crystal
Mo 0.999 0.999 0.999
Sc 0.250 0.250 0.250
Mo 0.501 0.501 0.501
Cd 0.750 0.750 0.750

=====

# 2
! PBE-GGA Cr2RuPb, relaxed; values from VASP
! DOS at the Fermi energy, states/eV per atom: 1.31
! Total DFT energy (no corrections), eV per cell: -29.8
! Formation energy, eV per atom: 0.61
&SYSTEM
  ibrav = 0, nat = 4, ntyp = 3
/
ATOMIC_SPECIES
Cr 52.00 Cr.upf
Ru 101.07 Ru.upf
Pb 207.20 Pb.upf
CELL_PARAMETERS angstrom
-2.815 -0.814 -2.581
1.994 -3.432 -1.093
-2.040 -2.106 2.889
ATOMIC_POSITIONS crystal
Cr 0.000 0.500 0.500
Ru 0.500 0.000 0.500
Pb 0.500 0.500 0.000
Cr 0.000 0.000 0.000

=====

# 3
! PBE-GGA Dy4Ho10Tm, relaxed; values from VASP
! DOS at the Fermi energy, states/eV per atom: 1.02
! Total DFT energy (no corrections), eV per cell: -57.7
! Formation energy, eV per atom: 0.73
&SYSTEM
  ibrav = 0, nat = 15, ntyp = 3
/
ATOMIC_SPECIES
Ho 164.93 Ho.upf
Dy 162.50 Dy.upf
Tm 168.93 Tm.upf
CELL_PARAMETERS angstrom
0.810 -4.327 6.211
-1.768 -9.053 -1.411
8.593 -3.455 1.137
ATOMIC_POSITIONS crystal
Ho 0.951 0.899 0.701
Ho 0.750 0.500 0.500
Ho 0.850 0.701 0.101
Dy 0.799 0.600 0.801
Ho 0.652 0.299 0.899
Ho 0.150 0.299 0.899
Tm 0.000 0.000 0.000
Ho 0.449 0.899 0.701
Ho 0.250 0.500 0.500
Ho 0.049 0.101 0.299
Dy 0.601 0.199 0.600
Ho 0.348 0.701 0.101
Dy 0.201 0.400 0.199
Ho 0.551 0.101 0.299
Dy 0.399 0.801 0.400

=====

# 4
! PBE-GGA BRuSe2Cl, relaxed; values from VASP
! DOS at the Fermi energy, states/eV per atom: 0.69
! Energy relative to the elements, uncorrected, eV/atom: 1.73
! Total DFT energy (no corrections), eV per cell: -16.1
&SYSTEM
  ibrav = 0, nat = 5, ntyp = 4
/
ATOMIC_SPECIES
Ru 101.07 Ru.upf
Se 78.96 Se.upf
B 10.81 B.upf
Cl 35.45 Cl.upf
CELL_PARAMETERS angstrom
4.908 0.000 0.000
0.000 3.619 0.000
0.000 0.000 4.908
ATOMIC_POSITIONS crystal
Ru 0.500 0.500 0.500
Se 0.500 0.000 0.000
Se 0.000 0.000 0.500
B 0.000 0.500 0.000
Cl 0.000 0.000 0.000

=====

# 5
! PBE-GGA CaEu2Lu, relaxed; values from VASP
! DOS at the Fermi energy, states/eV per atom: 0.98
! Total DFT energy (no corrections), eV per cell: -26.6
! Formation energy, eV per atom: 0.13
&SYSTEM
  ibrav = 0, nat = 4, ntyp = 3
/
ATOMIC_SPECIES
Lu 174.97 Lu.upf
Eu 151.96 Eu.upf
Ca 40.08 Ca.upf
CELL_PARAMETERS angstrom
5.965 0.000 0.000
2.983 5.166 0.000
2.983 1.722 4.871
ATOMIC_POSITIONS crystal
Lu 0.500 0.500 0.500
Eu 0.250 0.250 0.250
Ca 0.000 0.000 0.000
Eu 0.750 0.750 0.750

=====

# 6
! PBE-GGA Pr2SbN, relaxed; values from VASP
! DOS at the Fermi energy, states/eV per atom: 0.33
! Energy relative to the elements, uncorrected, eV/atom: -0.63
! Total DFT energy (no corrections), eV per cell: -24.5
&SYSTEM
  ibrav = 0, nat = 4, ntyp = 3
/
ATOMIC_SPECIES
Pr 140.91 Pr.upf
Sb 121.76 Sb.upf
N 14.01 N.upf
CELL_PARAMETERS angstrom
-1.679 2.811 0.389
-2.566 -1.697 1.185
2.932 0.728 7.393
ATOMIC_POSITIONS crystal
Pr 0.000 0.000 0.811
Pr 0.000 0.000 0.189
Sb 0.500 0.500 0.500
N 0.500 0.500 0.000

=====

# 7
! PBE-GGA HoBePt6, relaxed; values from VASP
! DOS at the Fermi energy, states/eV per atom: 1.32
! Total DFT energy (no corrections), eV per cell: -48.9
! Formation energy, eV per atom: -0.54
&SYSTEM
  ibrav = 0, nat = 8, ntyp = 3
/
ATOMIC_SPECIES
Pt 195.08 Pt.upf
Be 9.01 Be.upf
Ho 164.93 Ho.upf
CELL_PARAMETERS angstrom
3.888 0.000 0.000
0.000 3.888 0.000
0.000 0.000 9.106
ATOMIC_POSITIONS crystal
Pt 0.500 0.000 0.349
Pt 0.500 0.500 0.861
Pt 0.500 0.000 0.651
Pt 0.500 0.500 0.139
Be 0.000 0.000 0.500
Ho 0.000 0.000 0.000
Pt 0.000 0.500 0.349
Pt 0.000 0.500 0.651

=====

# 8
! PBE-GGA KCrPtC2, relaxed; values from VASP
! DOS at the Fermi energy, states/eV per atom: 1.04
! Total DFT energy (no corrections), eV per cell: -25.1
! Formation energy, eV per atom: 2.02
&SYSTEM
  ibrav = 0, nat = 5, ntyp = 4
/
ATOMIC_SPECIES
C 12.01 C.upf
Cr 52.00 Cr.upf
Pt 195.08 Pt.upf
K 39.10 K.upf
CELL_PARAMETERS angstrom
-0.026 0.543 3.841
-5.616 -1.083 0.115
0.738 -3.771 0.538
ATOMIC_POSITIONS crystal
C 0.000 0.000 0.500
Cr 0.000 0.000 0.000
C 0.500 0.000 0.000
Pt 0.500 0.500 0.500
K 0.000 0.500 0.000

=====

no.,calculated density (Mg/m³)
1,7.92
2,10.34
3,7.42
4,5.81
5,5.74
6,7.99
7,16.22
8,5.98